# AcHo2MgAu4

An optimized crystal structure of AcHo2MgAu4 (PBE, the Alexandria database).

Calculated values
Formation enthalpy at 0 K, meV per atom: -776
Symmetry: R-3m, No. 166

Cell lengths 9.410, 9.410, 9.410 Å; angles 30.85, 30.85, 30.85 degrees
Element x y z (fractional)
Ac 0.000 0.000 0.000
Ho 0.235 0.235 0.235
Ho 0.765 0.765 0.765
Mg 0.500 0.500 0.500
Au 0.123 0.123 0.123
Au 0.397 0.397 0.397
Au 0.603 0.603 0.603
Au 0.877 0.877 0.877



# AcHoAu2O8

An optimized crystal structure of AcHoAu2O8 (PBE, the Alexandria database).

Calculated values
ΔE_f (raw), eV per atom: -1.1816
Symmetry: I-4, No. 82

Cell lengths 6.644, 6.644, 6.644 Å; angles 129.78, 129.78, 73.75 degrees
Element x y z (fractional)
Ac 0.000 0.000 0.000
Ho 0.250 0.750 0.500
Au 0.500 0.500 0.000
Au 0.750 0.250 0.500
O 0.035 0.360 0.961
O 0.198 0.477 0.587
O 0.389 0.802 0.279
O 0.399 0.074 0.039
O 0.523 0.110 0.721
O 0.640 0.601 0.675
O 0.890 0.611 0.413
O 0.926 0.965 0.325



# AcHoPbAu

An optimized crystal structure of AcHoPbAu (PBE, the Alexandria database).

Calculated values
Formation enthalpy at 0 K, meV per atom: -545
Symmetry: F-43m, No. 216

Cell lengths 7.787, 7.787, 7.787 Å; angles 90.00, 90.00, 90.00 degrees
Element x y z (fractional)
Ac 0.000 0.000 0.000
Ac 0.000 0.500 0.500
Ac 0.500 0.000 0.500
Ac 0.500 0.500 0.000
Ho 0.000 0.000 0.500
Ho 0.000 0.500 0.000
Ho 0.500 0.000 0.000
Ho 0.500 0.500 0.500
Pb 0.250 0.250 0.750
Pb 0.250 0.750 0.250
Pb 0.750 0.250 0.250
Pb 0.750 0.750 0.750
Au 0.250 0.250 0.250
Au 0.250 0.750 0.750
Au 0.750 0.250 0.750
Au 0.750 0.750 0.250



Quick rundown of N(E_F), same order as above: 4.6 6.0 15.5 states/eV per cell